Record 1
Below is a relaxed structure of Sm6Er2Mg, with properties calculated at the PBE level.

Unit cell a=10.6426 b=10.6426 c=5.0867 alpha=90.00 beta=90.00 gamma=90.00
Sites, in units of the cell vectors:
Sm 0.0013 0.3328 0.0000
Sm 0.1625 0.8375 0.5000
Sm 0.1672 0.5013 0.5000
Sm 0.3328 0.0013 0.0000
Sm 0.3375 0.3375 0.0000
Sm 0.4987 0.8328 0.5000
Sm 0.5013 0.1672 0.5000
Sm 0.6625 0.6625 0.0000
Sm 0.6672 0.9987 0.0000
Sm 0.8328 0.4987 0.5000
Sm 0.8375 0.1625 0.5000
Sm 0.9987 0.6672 0.0000
Er 0.1690 0.1690 0.5000
Er 0.3310 0.6690 0.0000
Er 0.6690 0.3310 0.0000
Er 0.8310 0.8310 0.5000
Mg 0.0000 0.0000 0.0000
Mg 0.5000 0.5000 0.5000

## Properties
- DOS(E_F) (states/eV/atom) = 1.494
- energy of formation (kcal/mol of atoms) = 0.54

Record 2
Below is a relaxed structure of Li3CdIn3, with properties calculated at the PBE level.

Unit cell a=6.0368 b=6.0368 c=8.8848 alpha=90.02 beta=90.02 gamma=104.28
Sites, in units of the cell vectors:
Li 0.2086 0.7914 0.0000
Li 0.2185 0.7815 0.5000
Li 0.2868 0.2868 0.0005
Li 0.7132 0.7132 0.9995
Li 0.7815 0.2185 0.5000
Li 0.7914 0.2086 0.0000
Cd 0.3033 0.3033 0.4999
Cd 0.6967 0.6967 0.5001
In 0.0007 0.0007 0.2463
In 0.0020 0.4998 0.7565
In 0.4998 0.0020 0.7565
In 0.5002 0.9980 0.2435
In 0.9980 0.5002 0.2435
In 0.9993 0.9993 0.7537

## Properties
- DOS(E_F) (states/eV/atom) = 0.463
- energy of formation (kcal/mol of atoms) = -2.95

Record 3
Below is a relaxed structure of BaPrIr2O8, with properties calculated at the PBE level.

Unit cell a=6.0000 b=6.0000 c=7.8393 alpha=90.00 beta=90.00 gamma=120.00
Sites, in units of the cell vectors:
Ba 0.0000 0.0000 0.0000
Pr 0.0000 0.0000 0.5000
Ir 0.3333 0.6667 0.7871
Ir 0.6667 0.3333 0.2129
O 0.1624 0.3289 0.7084
O 0.1665 0.8376 0.7084
O 0.3289 0.1665 0.2916
O 0.3333 0.6667 0.0189
O 0.6667 0.3333 0.9811
O 0.6711 0.8335 0.7084
O 0.8335 0.1624 0.2916
O 0.8376 0.6711 0.2916

## Properties
- formation energy from raw total energies (meV/atom) = -1329.0
- DOS(E_F) (states/eV/atom) = 0.971

Record 4
Below is a relaxed structure of ErCoSnPt, with properties calculated at the PBE level.

Unit cell a=4.6874 b=4.6874 c=4.6874 alpha=60.00 beta=60.00 gamma=60.00
Sites, in units of the cell vectors:
Er 0.0000 0.0000 0.0000
Co 0.7500 0.7500 0.7500
Sn 0.5000 0.5000 0.5000
Pt 0.2500 0.2500 0.2500

## Properties
- DOS(E_F) (states/eV/atom) = 0.623
- energy of formation (kcal/mol of atoms) = -13.27